La5Pt | meta-GGA SCAN | PBEsol geometry

Results
* energy of formation from the pure elements: -27 kJ per mole of atoms
* calculated volume: 167.0 Å³/f.u.
* space-group type: No. 189
* spin magnetization: 0.0 Bohr magnetons per cell
* crystal system: hexagonal

The structure in POSCAR format:
```
La5Pt
1.0
5.491 0.000 0.000
0.000 5.927 0.000
0.000 -2.964 5.133
La Pt
5 1
direct
0.000 0.701 0.000 La
0.000 0.000 0.701 La
0.000 0.299 0.299 La
0.500 0.333 0.667 La
0.500 0.667 0.333 La
0.500 0.000 0.000 Pt
```